Record 1
Computed, not measured: a relaxed structure of Sm3YTl2S at the PBE-GGA level of DFT.

Summary:
Electronic total energy, eV/cell: -68.52
Formation energy from raw total energies, meV/atom: -682.8

a = 5.1118 Å, b = 5.2031 Å, c = 16.2080 Å
α = 90.00°, β = 90.00°, γ = 90.00°
With the nearest neighbours (Å) after each atom.
Space group Immm (No. 71)
Inequivalent atoms, fractional coordinates:
Sm (0.0000, 0.0000, 0.0000)  2 S 2.60
Sm (0.0000, 0.5000, 0.1730)  1 S 2.80
Y (0.0000, 0.0000, 0.5000)  2 S 2.56
Tl (0.0000, 0.5000, 0.3688)  3 Sm 3.17-3.32, 2 Y 3.36
S (0.0000, 0.5000, 0.0000)  2 Y 2.56, 4 Sm 2.60-2.80

---

Record 2
Computed, not measured: a relaxed structure of SmYTl2S4 at the PBE-GGA level of DFT.

Summary:
Electronic total energy, eV/cell: -44.26
Formation energy from raw total energies, meV/atom: -1479.3

a = 7.0693 Å, b = 4.0816 Å, c = 7.8752 Å
α = 90.00°, β = 107.40°, γ = 90.00°
With the nearest neighbours (Å) after each atom.
Space group P2/m (No. 10)
Inequivalent atoms, fractional coordinates:
Sm (0.0000, 0.0000, 0.0000)  6 S 2.81-2.82
Y (0.5000, 0.5000, 0.0000)  6 S 2.77-2.78
Tl (0.0000, 0.5000, 0.5000)  6 S 3.28
Tl (0.5000, 0.0000, 0.5000)  6 S 3.24
S (0.2383, 0.5000, 0.2011)  1 Y 2.77, 2 Sm 2.81
S (0.2714, 0.0000, 0.8008)  2 Y 2.78, 1 Sm 2.82

---

Record 3
Computed, not measured: a relaxed structure of SmY4TlS8 at the PBE-GGA level of DFT.

Summary:
Electronic total energy, eV/cell: -274.19
Formation energy from raw total energies, meV/atom: -1816.7

a = 8.2146 Å, b = 8.2146 Å, c = 20.4170 Å
α = 90.00°, β = 90.00°, γ = 120.00°
With the nearest neighbours (Å) after each atom.
Space group R3m (No. 160, hexagonal axes)
Inequivalent atoms, fractional coordinates:
Sm (0.0000, 0.0000, 0.0000)  6 S 2.73-2.92
Y (0.0000, 0.0000, 0.6214)  4 S 2.66-2.69
Y (0.1719, 0.3439, 0.8279)  6 S 2.68-2.88
Tl (0.0000, 0.0000, 0.3688)  4 S 2.85-2.87
S (0.0000, 0.0000, 0.2285)  3 Y 2.68, 1 Tl 2.87
S (0.0000, 0.0000, 0.7533)  4 Y 2.69-2.88
S (0.0403, 0.5201, 0.7531)  2 Y 2.68, 1 Sm 2.73, 1 Tl 2.85
S (0.1753, 0.3506, 0.5756)  3 Y 2.66-2.88, 1 Sm 2.92

---

Record 4
Computed, not measured: a relaxed structure of SmY3Tl2S at the PBE-GGA level of DFT.

Summary:
Electronic total energy, eV/cell: -75.07
Formation energy from raw total energies, meV/atom: -651.8

a = 5.0993 Å, b = 5.1890 Å, c = 15.9504 Å
α = 90.00°, β = 90.00°, γ = 90.00°
With the nearest neighbours (Å) after each atom.
Space group Immm (No. 71)
Inequivalent atoms, fractional coordinates:
Sm (0.0000, 0.0000, 0.0000)  2 S 2.59
Y (0.0000, 0.0000, 0.5000)  2 S 2.55
Y (0.0000, 0.5000, 0.1725)  1 S 2.75
Tl (0.0000, 0.5000, 0.3669)  3 Y 3.10-3.35, 2 Sm 3.32
S (0.0000, 0.5000, 0.0000)  4 Y 2.55-2.75, 2 Sm 2.59

---

Record 5
Computed, not measured: a relaxed structure of SmZrTl2S4 at the PBE-GGA level of DFT.

Summary:
Electronic total energy, eV/cell: -44.55
Formation energy from raw total energies, meV/atom: -1255.6

a = 6.7984 Å, b = 3.8435 Å, c = 8.1221 Å
α = 90.00°, β = 103.76°, γ = 90.00°
With the nearest neighbours (Å) after each atom.
Space group P2/m (No. 10)
Inequivalent atoms, fractional coordinates:
Sm (0.0000, 0.0000, 0.0000)  6 S 2.80
Zr (0.5000, 0.5000, 0.0000)  6 S 2.62-2.63
Tl (0.0000, 0.5000, 0.5000)  6 S 3.29-3.43
Tl (0.5000, 0.0000, 0.5000)  6 S 3.16-3.27
S (0.2472, 0.5000, 0.1978)  1 Zr 2.62, 2 Sm 2.80
S (0.2964, 0.0000, 0.8122)  2 Zr 2.63, 1 Sm 2.80

---

Record 6
Computed, not measured: a relaxed structure of SmTm4S5 at the PBE-GGA level of DFT.

Summary:
Electronic total energy, eV/cell: -125.25
Formation energy from raw total energies, meV/atom: -1938.3

a = 3.8714 Å, b = 5.4793 Å, c = 19.4148 Å
α = 90.00°, β = 90.00°, γ = 90.00°
With the nearest neighbours (Å) after each atom.
Space group Immm (No. 71)
Inequivalent atoms, fractional coordinates:
Sm (0.0000, 0.0000, 0.0000)  6 S 2.74-2.82
Tm (0.0000, 0.0000, 0.2022)  6 S 2.70-2.74
Tm (0.0000, 0.0000, 0.4007)  6 S 2.73-2.74
S (0.0000, 0.5000, 0.0000)  4 Tm 2.73, 2 Sm 2.74
S (0.0000, 0.5000, 0.1989)  6 Tm 2.73-2.74
S (0.0000, 0.5000, 0.3945)  4 Tm 2.70-2.74, 2 Sm 2.82